No. 1
DFT (PBE) results for crystalline CoSi2Ir at its relaxed geometry.

a b c (Å): 4.226 4.226 2.806
angles (deg): 90.00 90.00 99.29
Fractional coordinates of all 4 atoms:
Co 0.000 0.000 0.000
Si 0.000 0.500 0.500
Si 0.500 0.000 0.500
Ir 0.500 0.500 0.000

Output
M_tot, μB/f.u.: 0.4
ΔE_f (raw), eV/atom: -0.3040
Energy above the lowest structure with this stoichiometry, meV per atom: 211
Space-group type: Cmmm (65)

=====

No. 2
DFT (PBE) results for crystalline CoSiIr2 at its relaxed geometry.

a b c (Å): 2.800 2.800 6.567
angles (deg): 90.00 90.00 90.00
Fractional coordinates of all 4 atoms:
Co 0.000 0.000 0.000
Si 0.500 0.500 0.804
Ir 0.000 0.000 0.572
Ir 0.500 0.500 0.267

Output
M_tot, μB/f.u.: 1.6
ΔE_f (raw), eV/atom: -0.1992
Space-group type: P4mm (99)

=====

No. 3
DFT (PBE) results for crystalline CoSiIr2 at its relaxed geometry.

a b c (Å): 2.729 4.278 4.622
angles (deg): 90.00 90.00 90.00
Fractional coordinates of all 4 atoms:
Co 0.000 0.000 0.000
Si 0.500 0.000 0.500
Ir 0.000 0.500 0.500
Ir 0.500 0.500 0.000

Output
M_tot, μB/f.u.: 1.4
ΔE_f (raw), eV/atom: -0.0003
Space-group type: Pmmm (47)

=====

No. 4
DFT (PBE) results for crystalline CoSi2Ir at its relaxed geometry.

a b c (Å): 4.189 4.189 4.189
angles (deg): 60.00 60.00 60.00
Fractional coordinates of all 4 atoms:
Co 0.000 0.000 0.000
Si 0.250 0.250 0.250
Si 0.500 0.500 0.500
Ir 0.750 0.750 0.750

Output
M_tot, μB/f.u.: 0.0
ΔE_f (raw), eV/atom: 0.1085
Energy above the lowest structure with this stoichiometry, meV per atom: 623
Space-group type: F-43m (216)

=====

No. 5
DFT (PBE) results for crystalline CoSi2Ir at its relaxed geometry.

a b c (Å): 4.125 4.125 4.125
angles (deg): 60.00 60.00 60.00
Fractional coordinates of all 4 atoms:
Co 0.000 0.000 0.000
Si 0.250 0.250 0.250
Si 0.750 0.750 0.750
Ir 0.500 0.500 0.500

Output
M_tot, μB/f.u.: 1.5
ΔE_f (raw), eV/atom: -0.3412
Energy above the lowest structure with this stoichiometry, meV per atom: 174
Space-group type: Fm-3m (225)

=====

No. 6
DFT (PBE) results for crystalline CoSi2Ir at its relaxed geometry.

a b c (Å): 4.054 4.054 4.746
angles (deg): 100.70 100.70 40.89
Fractional coordinates of all 4 atoms:
Co 0.000 0.000 0.000
Si 0.253 0.253 0.770
Si 0.747 0.747 0.230
Ir 0.500 0.500 0.500

Output
M_tot, μB/f.u.: 0.0
ΔE_f (raw), eV/atom: -0.3950
Energy above the lowest structure with this stoichiometry, meV per atom: 120
Space-group type: C2/m (12)

=====

No. 7
DFT (PBE) results for crystalline CoSiIr2 at its relaxed geometry.

a b c (Å): 4.574 4.574 4.574
angles (deg): 131.91 131.91 70.37
Fractional coordinates of all 4 atoms:
Co 0.000 0.000 0.000
Si 0.750 0.250 0.500
Ir 0.250 0.750 0.500
Ir 0.500 0.500 0.000

Output
M_tot, μB/f.u.: 0.0
ΔE_f (raw), eV/atom: -0.1725
Space-group type: I-4m2 (119)

=====

No. 8
DFT (PBE) results for crystalline Co2Si2Ir at its relaxed geometry.

a b c (Å): 6.583 6.583 2.710
angles (deg): 90.00 90.00 90.00
Fractional coordinates of all 10 atoms:
Co 0.145 0.355 0.000
Co 0.355 0.855 0.000
Co 0.645 0.145 0.000
Co 0.855 0.645 0.000
Si 0.149 0.649 0.500
Si 0.351 0.149 0.500
Si 0.649 0.851 0.500
Si 0.851 0.351 0.500
Ir 0.000 0.000 0.500
Ir 0.500 0.500 0.500

Output
M_tot, μB/f.u.: 0.0
ΔE_f (raw), eV/atom: -0.4311
Energy above the lowest structure with this stoichiometry, meV per atom: 0
Space-group type: P4/mbm (127)

=====

No. 9
DFT (PBE) results for crystalline Co3Si2Ir at its relaxed geometry.

a b c (Å): 3.764 7.097 5.219
angles (deg): 90.00 90.00 90.00
Fractional coordinates of all 12 atoms:
Co 0.000 0.036 0.000
Co 0.000 0.310 0.369
Co 0.000 0.690 0.869
Co 0.000 0.964 0.500
Co 0.500 0.179 0.694
Co 0.500 0.821 0.194
Si 0.000 0.345 0.807
Si 0.000 0.655 0.307
Si 0.500 0.134 0.260
Si 0.500 0.866 0.760
Ir 0.500 0.452 0.061
Ir 0.500 0.548 0.561

Output
M_tot, μB/f.u.: 1.5
ΔE_f (raw), eV/atom: -0.4533
Space-group type: Pmc2_1 (26)

=====

No. 10
DFT (PBE) results for crystalline CoSi4Ir at its relaxed geometry.

a b c (Å): 4.807 4.807 4.807
angles (deg): 60.00 60.00 60.00
Fractional coordinates of all 6 atoms:
Co 0.000 0.000 0.000
Si 0.375 0.375 0.375
Si 0.375 0.375 0.876
Si 0.375 0.876 0.375
Si 0.876 0.375 0.375
Ir 0.750 0.750 0.750

Output
M_tot, μB/f.u.: 0.0
ΔE_f (raw), eV/atom: 0.5094
Space-group type: F-43m (216)

=====

No. 11
DFT (PBE) results for crystalline CoSi2Ir3 at its relaxed geometry.

a b c (Å): 3.957 7.577 5.259
angles (deg): 90.00 90.00 90.00
Fractional coordinates of all 12 atoms:
Co 0.000 0.041 0.000
Co 0.000 0.959 0.500
Si 0.000 0.342 0.174
Si 0.000 0.658 0.674
Si 0.500 0.143 0.768
Si 0.500 0.857 0.268
Ir 0.000 0.313 0.638
Ir 0.000 0.687 0.138
Ir 0.500 0.170 0.304
Ir 0.500 0.452 0.952
Ir 0.500 0.548 0.452
Ir 0.500 0.830 0.804

Output
M_tot, μB/f.u.: 0.6
ΔE_f (raw), eV/atom: -0.4532
Space-group type: Pmc2_1 (26)

=====

No. 12
DFT (PBE) results for crystalline CoSiIr2 at its relaxed geometry.

a b c (Å): 6.778 6.778 6.778
angles (deg): 135.78 135.78 64.32
Fractional coordinates of all 8 atoms:
Co 0.000 0.000 0.000
Co 0.750 0.250 0.500
Si 0.250 0.750 0.500
Si 0.500 0.500 0.000
Ir 0.122 0.625 0.997
Ir 0.375 0.372 0.497
Ir 0.628 0.125 0.003
Ir 0.875 0.878 0.503

Output
M_tot, μB/f.u.: 1.7
ΔE_f (raw), eV/atom: 0.5351
Space-group type: I-42d (122)

=====

Calculated total energy, record by record: -7.0073; -7.7619; -7.5630; -6.5947; -7.0444; -7.0982; -7.7352; -7.2148; -7.2908; -5.7670; -7.8756; -7.0276 eV per atom